# 1
Entry from Alexandria: a relaxed structure of SrAcIn2Ag2 (PBE-GGA).

It has space group P-3m1 (No. 164), with a = 4.9838 Å, b = 4.9838 Å, c = 8.1720 Å, α = 90.00°, β = 90.00° and γ = 120.00°. The inequivalent atoms are Sr at (0.0000, 0.0000, 0.0000), Ac at (0.0000, 0.0000, 0.5000), In at (0.3333, 0.6667, 0.7442) and Ag at (0.3333, 0.6667, 0.2559).

Its spin magnetization is 0.00 μB/f.u. The density comes out at 7.2 g/cm3. The calculation puts the energy of formation at -0.36 eV/atom.



# 2
Entry from Alexandria: a relaxed structure of Ac2TbIn4Ag3 (PBE-GGA).

It has space group P-4m2 (No. 115), with a = 4.641 Å, b = 4.641 Å, c = 12.850 Å, α = 90.00°, β = 90.00° and γ = 90.00°. The inequivalent atoms are Ac at (0.000, 0.500, 0.233), Tb at (0.000, 0.000, 0.500), In at (0.000, 0.000, 0.000), In at (0.000, 0.500, 0.656), In at (0.500, 0.500, 0.000), Ag at (0.000, 0.500, 0.869) and Ag at (0.500, 0.500, 0.500).

Its spin magnetization is 0.00 μB/f.u. The density comes out at 8.4 g/cm3. The calculation puts the energy of formation at -0.33 eV/atom.



# 3
Entry from Alexandria: a relaxed structure of Ac2InAgTe5 (PBE-GGA).

It has space group Cmc2_1 (No. 36), with a = 4.647 Å, b = 20.195 Å, c = 13.283 Å, α = 90.00°, β = 90.00° and γ = 90.00°. The inequivalent atoms are Ac at (0.000, 0.116, 0.000), Ac at (0.000, 0.123, 0.621), In at (0.000, 0.410, 0.789), Ag at (0.000, 0.258, 0.426), Te at (0.000, 0.039, 0.391), Te at (0.000, 0.304, 0.648), Te at (0.000, 0.309, 0.967), Te at (0.000, 0.369, 0.311) and Te at (0.000, 0.495, 0.603).

Its spin magnetization is 0.00 μB/f.u. The density comes out at 7.0 g/cm3. The uncorrected formation energy is -0.980 eV/atom.



# 4
Entry from Alexandria: a relaxed structure of AcThInAg (PBE-GGA).

It has space group F-43m (No. 216), with a = 7.846 Å, b = 7.846 Å, c = 7.846 Å, α = 90.00°, β = 90.00° and γ = 90.00°. The inequivalent atoms are Ac at (0.000, 0.000, 0.000), Th at (0.000, 0.000, 0.500), In at (0.250, 0.250, 0.250) and Ag at (0.250, 0.250, 0.750).

Its spin magnetization is 0.02 μB/f.u. The density comes out at 9.4 g/cm3. The calculation puts the energy of formation at -0.16 eV/atom.